Compound: SrSc2In
Source: Alexandria
Functional: GGA-PBEsol
Structure: optimized geometry

Lattice parameters (Å, degrees): 3.423 3.423 9.413 90.00 90.00 90.00
Fractional coordinates of all 4 atoms:
Sc  0.000  0.000  0.303
In  0.500  0.500  0.500
Sc  0.000  0.000  0.697
Sr  0.500  0.500  0.000

As for the formation energy from the elements: -0.063 eV per atom. Its polymorph energy (0 for the lowest one) is 31 meV per atom.